1.
Computed, not measured: a relaxed K3ScCu2Cl9 crystal at the GGA-PBE level of DFT.

Properties
For the formation energy from raw total energies, the calculation gives -1501.8 meV/atom. The calculation puts the volume at 373 Å³ per cell. The density of states at the Fermi level comes out at 2.498 states/eV/cell. The energy is -57.0 eV/f.u.

Lattice parameters (Å, degrees): 7.0415 7.0415 8.6877 90.00 90.00 120.00
Last column: magnetic moment on the atom in μB.
Sites, in units of the cell vectors:
K (0.6667, 0.3333, 0.3195)  0.00
K (0.0000, 0.0000, 0.0000)  0.00
K (0.3333, 0.6667, 0.6805)  0.00
Cl (0.5000, 0.5000, 0.0000)  0.08
Cl (0.8331, 0.6661, 0.6656)  0.01
Cl (0.1669, 0.8331, 0.3344)  0.01
Cl (0.5000, 0.0000, 0.0000)  0.08
Cl (0.6661, 0.8331, 0.3344)  0.01
Cl (0.0000, 0.5000, 0.0000)  0.08
Cl (0.3339, 0.1669, 0.6656)  0.01
Cl (0.8331, 0.1669, 0.6656)  0.01
Cl (0.1669, 0.3339, 0.3344)  0.01
Sc (0.0000, 0.0000, 0.5000)  0.01
Cu (0.3333, 0.6667, 0.1437)  0.35
Cu (0.6667, 0.3333, 0.8563)  0.35

---

2.
Computed, not measured: a relaxed K2CuSeCl6 crystal at the GGA-PBE level of DFT.

Properties
For the formation energy from raw total energies, the calculation gives -980.0 meV/atom. The calculation puts the volume at 272 Å³ per cell. The density of states at the Fermi level comes out at 3.420 states/eV/cell. The energy is -30.7 eV/f.u.

Lattice parameters (Å, degrees): 7.1496 7.1497 7.3349 60.97 60.97 90.28
Last column: magnetic moment on the atom in μB.
Sites, in units of the cell vectors:
K (0.7501, 0.2502, 0.4997)  0.00
K (0.2499, 0.7498, 0.5003)  0.00
Cu (0.0000, 0.0000, 0.0000)  0.02
Se (0.5000, 0.5000, 0.0000)  0.22
Cl (0.2591, 0.7412, 0.0000)  0.02
Cl (0.2092, 0.2092, 0.5818)  0.03
Cl (0.7409, 0.2588, 0.0000)  0.02
Cl (0.7426, 0.7422, 0.0001)  0.01
Cl (0.2574, 0.2578, 0.9999)  0.01
Cl (0.7908, 0.7908, 0.4182)  0.03

---

- Which value of volume does entry 2 give?
  272 Å³ per cell